(1)
Material: PaAl2Au
Method: DFT, PBE
State: optimized geometry

Formation energy: -3.7 kJ per mole of atoms
Calculated density: 10.0 Mg/m³
Polymorph energy (0 for the lowest one): 342.0 meV per atom

Structure (CIF):
```
data_PaAl2Au
_chemical_formula_sum 'Pa3 Al6 Au3'
_space_group_name_H-M_alt 'R -3 m'
_space_group_IT_number 166
_space_group_name_Hall '-R 3 2"'
_cell_length_a 4.9249
_cell_length_b 4.9249
_cell_length_c 11.3850
_cell_angle_alpha 90.00
_cell_angle_beta 90.00
_cell_angle_gamma 120.00
loop_
_atom_site_label
_atom_site_type_symbol
_atom_site_fract_x
_atom_site_fract_y
_atom_site_fract_z
Pa1 Pa 0.0000 0.0000 0.0000
Al1 Al 0.0000 0.0000 0.2571
Au1 Au 0.0000 0.0000 0.5000
```

***

(2)
Material: PrSm3Th2P6
Method: DFT, PBE
State: optimized geometry

Formation energy: -152.8 kJ per mole of atoms
Calculated density: 6.9 Mg/m³

Structure (CIF):
```
data_PrSm3Th2P6
_chemical_formula_sum 'Pr2 Sm6 Th4 P12'
_space_group_name_H-M_alt 'C 1 2/m 1'
_space_group_IT_number 12
_cell_length_a 7.169
_cell_length_b 12.429
_cell_length_c 7.145
_cell_angle_alpha 90.00
_cell_angle_beta 109.52
_cell_angle_gamma 90.00
loop_
_space_group_symop_operation_xyz
'x,y,z'
'-x,-y,-z'
'-x,y,-z'
'x,-y,z'
'x+1/2,y+1/2,z'
'-x+1/2,-y+1/2,-z'
'-x+1/2,y+1/2,-z'
'x+1/2,-y+1/2,z'
loop_
_atom_site_label
_atom_site_type_symbol
_atom_site_fract_x
_atom_site_fract_y
_atom_site_fract_z
Pr1 Pr 0.000 0.000 0.000
Sm1 Sm 0.000 0.166 0.500
Sm2 Sm 0.000 0.500 0.500
Th1 Th 0.000 0.333 0.000
P1 P 0.246 0.500 0.251
P2 P 0.247 0.331 0.749
```

***

(3)
Material: TbZrNiPd
Method: DFT, PBE
State: optimized geometry

Formation energy: -45.3 kJ per mole of atoms
Calculated density: 9.0 Mg/m³

Structure (CIF):
```
data_TbZrNiPd
_chemical_formula_sum 'Tb4 Zr4 Ni4 Pd4'
_space_group_name_H-M_alt 'F -4 3 m'
_space_group_IT_number 216
_space_group_name_Hall 'F -4 2 3'
_cell_length_a 6.753
_cell_length_b 6.753
_cell_length_c 6.753
_cell_angle_alpha 90.00
_cell_angle_beta 90.00
_cell_angle_gamma 90.00
loop_
_atom_site_label
_atom_site_type_symbol
_atom_site_fract_x
_atom_site_fract_y
_atom_site_fract_z
Tb1 Tb 0.000 0.000 0.000
Zr1 Zr 0.000 0.000 0.500
Ni1 Ni 0.250 0.250 0.750
Pd1 Pd 0.250 0.250 0.250
```

***

(4)
Material: YAl3
Method: DFT, PBE
State: optimized geometry

Formation energy: -38.2 kJ per mole of atoms
Calculated density: 3.6 Mg/m³

Structure (CIF):
```
data_YAl3
_chemical_formula_sum 'Y2 Al6'
_space_group_name_H-M_alt 'P m m n'
_space_group_IT_number 59
_cell_length_a 4.550
_cell_length_b 5.936
_cell_length_c 5.874
_cell_angle_alpha 90.00
_cell_angle_beta 90.00
_cell_angle_gamma 90.00
loop_
_space_group_symop_operation_xyz
'x,y,z'
'-x,-y,-z'
'-x+1/2,-y+1/2,z'
'x+1/2,y+1/2,-z'
'x+1/2,-y,-z'
'-x+1/2,y,z'
'-x,y+1/2,-z'
'x,-y+1/2,z'
loop_
_atom_site_label
_atom_site_type_symbol
_atom_site_fract_x
_atom_site_fract_y
_atom_site_fract_z
Y1 Y 0.250 0.250 0.114
Al1 Al 0.250 0.012 0.636
Al2 Al 0.250 0.750 0.246
```

***

Number 3 is which compound? TbZrNiPd

***

Which formula does entry 1 have? PaAl2Au

***

The lowest formation energy belongs to which entry? PrSm3Th2P6